(1)
## ErMn2 (SCAN)

Data for ErMn2 at its PBEsol-relaxed geometry.

Computed properties:
* density of states at the Fermi level: 2.86 states/eV/f.u.
* DFT total energy: -28.833 eV per atom
* magnetization: 5.1 μB/cell

Unit cell a=4.9913 b=4.9913 c=4.9913 alpha=60.00 beta=60.00 gamma=60.00
Element x y z (fractional)
Er  0.1250  0.1250  0.1250
Er  0.8750  0.8750  0.8750
Mn  0.0000  0.5000  0.5000
Mn  0.5000  0.0000  0.5000
Mn  0.5000  0.5000  0.0000
Mn  0.5000  0.5000  0.5000

---

(2)
## CaMg2Hg (SCAN)

Data for CaMg2Hg at its PBEsol-relaxed geometry.

Computed properties:
* density of states at the Fermi level: 1.85 states/eV/f.u.
* DFT total energy: -22.216 eV per atom
* magnetization: 0.0 μB/cell

Unit cell a=3.4908 b=4.9399 c=5.9412 alpha=90.00 beta=102.15 gamma=90.00
Element x y z (fractional)
Ca  0.0000  0.0000  0.0000
Mg  0.3612  0.5000  0.7260
Mg  0.6388  0.5000  0.2740
Hg  0.5000  0.0000  0.5000